Material: SrTcIr2
Method: DFT, PBE-GGA
State: relaxed

a = 4.9757 Å, b = 4.9757 Å, c = 2.8756 Å
α = 90.00°, β = 90.00°, γ = 90.00°
Atoms (fractional coordinates):
Ir 0.5000 0.5000 0.0000
Ir 0.0000 0.0000 0.0000
Sr 0.5000 0.0000 0.5000
Tc 0.0000 0.5000 0.5000

Summary:
For the energy of formation, the calculation gives 0.55 eV/atom. Its volume is 17.80 Å³/atom. Its symmetry is No. 123. Its energy relative to the lowest polymorph listed for this composition is 1.732 eV per formula unit.